Record 1
The following is a DFT calculation (PBE-GGA) of a relaxed TaBr2 crystal.

Unit cell a=8.0053 b=8.0053 c=8.0053 alpha=60.00 beta=60.00 gamma=60.00
Last column: nearest neighbours and their distance in Å.
Sites, in units of the cell vectors:
Ta (0.1250, 0.1250, 0.1250)  4 Br 2.45
Ta (0.8750, 0.8750, 0.8750)  4 Br 2.45
Br (0.0000, 0.0000, 0.0000)  2 Ta 2.45
Br (0.0000, 0.0000, 0.5000)  2 Ta 2.45
Br (0.0000, 0.5000, 0.0000)  2 Ta 2.45
Br (0.5000, 0.0000, 0.0000)  2 Ta 2.45

=====

Record 2
The following is a DFT calculation (PBE-GGA) of a relaxed U2Ta2Br crystal.

Unit cell a=7.6278 b=7.6278 c=7.6278 alpha=134.55 beta=63.71 gamma=137.84
Last column: nearest neighbours and their distance in Å.
Sites, in units of the cell vectors:
U (0.0844, 0.1141, 0.1986)  1 U 2.57, 1 Ta 2.68, 2 Br 2.87
U (0.4156, 0.6141, 0.0297)  1 U 2.57, 1 Ta 2.68, 2 Br 2.87
U (0.5844, 0.3859, 0.9703)  1 U 2.57, 1 Ta 2.68, 2 Br 2.87
U (0.9156, 0.8859, 0.8014)  1 U 2.57, 1 Ta 2.68, 2 Br 2.87
Ta (0.2109, 0.6778, 0.8887)  1 U 2.68
Ta (0.2891, 0.1778, 0.4669)  1 U 2.68
Ta (0.7109, 0.8222, 0.5331)  1 U 2.68
Ta (0.7891, 0.3222, 0.1113)  1 U 2.68
Br (0.2500, 0.7500, 0.5000)  2 Br 2.74, 4 U 2.87
Br (0.7500, 0.2500, 0.5000)  2 Br 2.74, 4 U 2.87

=====

Record 3
The following is a DFT calculation (PBE-GGA) of a relaxed TbBr2 crystal.

Unit cell a=6.2493 b=6.2493 c=6.2493 alpha=60.00 beta=60.00 gamma=60.00
Last column: nearest neighbours and their distance in Å.
Sites, in units of the cell vectors:
Tb (0.1250, 0.1250, 0.1250)  12 Br 3.66, 4 Tb 3.83
Tb (0.8750, 0.8750, 0.8750)  12 Br 3.66, 4 Tb 3.83
Br (0.0000, 0.5000, 0.5000)  6 Br 3.12
Br (0.5000, 0.0000, 0.5000)  6 Br 3.12
Br (0.5000, 0.5000, 0.0000)  6 Br 3.12
Br (0.5000, 0.5000, 0.5000)  6 Br 3.12

=====

Record 4
The following is a DFT calculation (PBE-GGA) of a relaxed Tb5Br8 crystal.

Unit cell a=10.1403 b=10.1403 c=13.7412 alpha=129.92 beta=129.92 gamma=21.84
Last column: nearest neighbours and their distance in Å.
Sites, in units of the cell vectors:
Tb (0.0000, 0.0000, 0.0000)  6 Br 2.83-2.86
Tb (0.1541, 0.1541, 0.6689)  5 Br 2.90-3.17
Tb (0.4839, 0.4839, 0.6157)  4 Br 2.89-3.01
Tb (0.5161, 0.5161, 0.3843)  4 Br 2.89-3.01
Tb (0.8459, 0.8459, 0.3311)  5 Br 2.90-3.17
Br (0.0382, 0.0382, 0.2381)  3 Tb 2.83-3.01
Br (0.2924, 0.2924, 0.4274)  3 Tb 2.89-2.90
Br (0.3300, 0.3300, 0.1584)  3 Tb 2.89-2.91
Br (0.3622, 0.3622, 0.8998)  3 Tb 2.86-3.17
Br (0.6378, 0.6378, 0.1002)  3 Tb 2.86-3.17
Br (0.6700, 0.6700, 0.8416)  3 Tb 2.89-2.91
Br (0.7076, 0.7076, 0.5726)  3 Tb 2.89-2.90
Br (0.9618, 0.9618, 0.7619)  3 Tb 2.83-3.01

=====

Record 5
The following is a DFT calculation (PBE-GGA) of a relaxed Tb2Br crystal.

Unit cell a=6.5648 b=6.5648 c=6.5648 alpha=60.00 beta=60.00 gamma=60.00
Last column: nearest neighbours and their distance in Å.
Sites, in units of the cell vectors:
Tb (0.0000, 0.0000, 0.0000)  6 Tb 3.28
Tb (0.0000, 0.0000, 0.5000)  6 Tb 3.28
Tb (0.0000, 0.5000, 0.0000)  6 Tb 3.28
Tb (0.5000, 0.0000, 0.0000)  6 Tb 3.28
Br (0.3750, 0.3750, 0.3750)  12 Tb 3.85, 4 Br 4.02
Br (0.6250, 0.6250, 0.6250)  12 Tb 3.85, 4 Br 4.02

=====

Record 6
The following is a DFT calculation (PBE-GGA) of a relaxed TbBr2 crystal.

Unit cell a=7.1731 b=7.1731 c=3.6910 alpha=90.00 beta=90.00 gamma=90.00
Last column: nearest neighbours and their distance in Å.
Sites, in units of the cell vectors:
Tb (0.0000, 0.0000, 0.0000)  6 Br 2.86-2.88
Tb (0.5000, 0.5000, 0.5000)  6 Br 2.86-2.88
Br (0.2181, 0.2181, 0.5000)  3 Tb 2.86-2.88
Br (0.2819, 0.7181, 0.0000)  3 Tb 2.86-2.88
Br (0.7181, 0.2819, 0.0000)  3 Tb 2.86-2.88
Br (0.7819, 0.7819, 0.5000)  3 Tb 2.86-2.88

=====

Q: Which electronic total energy values were calculated for the entries above? A: -4.6263; -9.0417; -2.7210; -4.2829; -3.4802; -4.1714, in eV/atom.